Density functional theory data (PBE) for a geometry-optimized SrCaGa2Co structure.

```
data_SrCaGa2Co
_space_group_name_H-M_alt 'P 1'
_space_group_IT_number 1
_cell_length_a 4.7884
_cell_length_b 4.7884
_cell_length_c 5.0388
_cell_angle_alpha 90.00
_cell_angle_beta 90.00
_cell_angle_gamma 90.00
loop_
_space_group_symop_operation_xyz
'x,y,z'
loop_
_atom_site_label
_atom_site_type_symbol
_atom_site_fract_x
_atom_site_fract_y
_atom_site_fract_z
Sr1 Sr 0.0000 0.0000 0.0000
Ca1 Ca 0.5000 0.5000 0.0000
Ga1 Ga 0.0000 0.5000 0.5000
Ga2 Ga 0.5000 0.0000 0.5000
Co1 Co 0.5000 0.5000 0.5000
```

Summary:
**Total DFT energy (no corrections)**: -3.571 eV/atom
**Formation enthalpy at 0 K**: -1.012 eV/f.u.
**Space group**: P4/mmm

---

Density functional theory data (PBE) for a geometry-optimized VAu3 structure.

```
data_VAu3
_space_group_name_H-M_alt 'P 1'
_space_group_IT_number 1
_cell_length_a 5.8610
_cell_length_b 5.8610
_cell_length_c 4.6856
_cell_angle_alpha 90.00
_cell_angle_beta 90.00
_cell_angle_gamma 120.00
loop_
_space_group_symop_operation_xyz
'x,y,z'
loop_
_atom_site_label
_atom_site_type_symbol
_atom_site_fract_x
_atom_site_fract_y
_atom_site_fract_z
V1 V 0.3333 0.6667 0.2500
V2 V 0.6667 0.3333 0.7500
Au1 Au 0.1694 0.3387 0.7500
Au2 Au 0.1694 0.8306 0.7500
Au3 Au 0.3387 0.1694 0.2500
Au4 Au 0.6613 0.8306 0.7500
Au5 Au 0.8306 0.1694 0.2500
Au6 Au 0.8306 0.6613 0.2500
```

Summary:
**Total DFT energy (no corrections)**: -4.669 eV/atom
**Formation enthalpy at 0 K**: 0.276 eV/f.u.
**Space group**: P6_3/mmc